The following is a DFT calculation (PBE) of a relaxed AsSeO2 crystal.

extended XYZ file:
```
16
Lattice="5.8306 0.0000 0.0000 0.0000 5.8306 0.0000 0.0000 0.0000 5.8306" Properties=species:S:1:pos:R:3 pbc="T T T"
As 0.0000 0.0000 0.0000
As 0.0000 2.9153 2.9153
As 2.9153 0.0000 2.9153
As 2.9153 2.9153 0.0000
Se 0.0000 0.0000 2.9153
Se 0.0000 2.9153 0.0000
Se 2.9153 0.0000 0.0000
Se 2.9153 2.9153 2.9153
O 1.4577 1.4577 1.4577
O 1.4577 1.4577 4.3730
O 1.4577 4.3730 1.4577
O 1.4577 4.3730 4.3730
O 4.3730 1.4577 1.4577
O 4.3730 1.4577 4.3730
O 4.3730 4.3730 1.4577
O 4.3730 4.3730 4.3730
```

Output
Its density of states at the Fermi level is 0.696 states/eV per atom. The excess energy over the best structure of this formula in the dataset is 0.835 eV/atom.

=====

The following is a DFT calculation (PBE) of a relaxed NpPdAu11 crystal.

extended XYZ file:
```
13
Lattice="2.7938 -6.8106 0.0000 2.7938 6.8106 0.0000 -2.6190 0.0000 6.6394" Properties=species:S:1:pos:R:3 pbc="T T T"
Np 0.0000 0.0000 0.0000
Pd -1.3095 0.0000 3.3197
Au 1.3969 3.4053 0.0000
Au 0.1900 4.4877 4.3110
Au 0.1259 1.4392 5.2213
Au 2.7786 4.4877 2.3283
Au 0.1259 -1.4392 5.2213
Au 1.3969 -3.4053 0.0000
Au 1.4843 0.0000 3.3197
Au 2.8427 1.4392 1.4181
Au 0.1900 -4.4877 4.3110
Au 2.8427 -1.4392 1.4181
Au 2.7786 -4.4877 2.3283
```

Output
Its density of states at the Fermi level is 0.703 states/eV per atom. The energy of formation from the pure elements comes out at -0.70 eV per formula unit.

=====

The following is a DFT calculation (PBE) of a relaxed Sm2PuTl9 crystal.

extended XYZ file:
```
12
Lattice="4.7934 0.0000 0.0000 0.0000 4.7934 0.0000 0.0000 0.0000 14.4249" Properties=species:S:1:pos:R:3 pbc="T T T"
Sm 0.0000 0.0000 2.3807
Sm 0.0000 0.0000 12.0442
Pu 0.0000 0.0000 7.2125
Tl 0.0000 2.3967 0.0000
Tl 0.0000 2.3967 4.8192
Tl 0.0000 2.3967 9.6057
Tl 2.3967 0.0000 0.0000
Tl 2.3967 0.0000 4.8192
Tl 2.3967 0.0000 9.6057
Tl 2.3967 2.3967 2.4236
Tl 2.3967 2.3967 7.2125
Tl 2.3967 2.3967 12.0013
```

Output
Its density of states at the Fermi level is 1.461 states/eV per atom. The energy of formation from the pure elements comes out at -2.48 eV per formula unit.

=====

The following is a DFT calculation (PBE) of a relaxed GePd3Au crystal.

extended XYZ file:
```
5
Lattice="4.9534 0.0000 0.0000 0.0000 4.9534 0.0000 0.0000 0.0000 4.9534" Properties=species:S:1:pos:R:3 pbc="T T T"
Ge 0.0000 0.0000 0.0000
Pd 0.0000 2.4767 2.4767
Pd 2.4767 0.0000 2.4767
Pd 2.4767 2.4767 0.0000
Au 2.4767 2.4767 2.4767
```

Output
Its density of states at the Fermi level is 1.480 states/eV per atom. The energy of formation from the pure elements comes out at 5.15 eV per formula unit. The excess energy over the best structure of this formula in the dataset is 1.323 eV/atom.

=====

The following is a DFT calculation (PBE) of a relaxed NaAl3Se crystal.

extended XYZ file:
```
5
Lattice="5.1618 0.0000 0.0000 0.0000 5.1618 0.0000 0.0000 0.0000 5.1618" Properties=species:S:1:pos:R:3 pbc="T T T"
Na 0.0000 0.0000 0.0000
Al 0.0000 2.5809 2.5809
Al 2.5809 0.0000 2.5809
Al 2.5809 2.5809 0.0000
Se 2.5809 2.5809 2.5809
```

Output
Its density of states at the Fermi level is 0.483 states/eV per atom. The excess energy over the best structure of this formula in the dataset is 0.000 eV/atom.

=====

The following is a DFT calculation (PBE) of a relaxed PrSm4Te2 crystal.

extended XYZ file:
```
7
Lattice="2.7694 1.5989 9.1258 -2.7694 1.5989 9.1258 0.0000 -3.1978 9.1258" Properties=species:S:1:pos:R:3 pbc="T T T"
Pr 0.0000 0.0000 0.0000
Sm 0.0000 0.0000 6.3421
Sm 0.0000 0.0000 10.0375
Sm 0.0000 0.0000 17.3400
Sm 0.0000 0.0000 21.0353
Te 0.0000 0.0000 3.1753
Te 0.0000 0.0000 24.2021
```

Output
As for the electronic total energy: -33.7 eV/cell. Its density of states at the Fermi level is 0.922 states/eV per atom.

=====

The following is a DFT calculation (PBE) of a relaxed TaNbPCl2 crystal.

extended XYZ file:
```
5
Lattice="4.7064 0.0000 0.0000 0.0000 4.7064 0.0000 0.0000 0.0000 5.0548" Properties=species:S:1:pos:R:3 pbc="T T T"
Ta 0.0000 0.0000 0.0000
Nb 2.3532 2.3532 2.5274
P 0.0000 0.0000 2.5274
Cl 0.0000 2.3532 0.0000
Cl 2.3532 0.0000 0.0000
```

Output
Its density of states at the Fermi level is 1.454 states/eV per atom. The excess energy over the best structure of this formula in the dataset is 0.000 eV/atom.

=====

The following is a DFT calculation (PBE) of a relaxed CrFeRe crystal.

extended XYZ file:
```
12
Lattice="5.5444 0.0000 0.0000 0.0000 5.5444 0.0000 0.0000 0.0000 5.5444" Properties=species:S:1:pos:R:3 pbc="T T T"
Cr 0.0000 0.0000 0.0000
Cr 0.0000 2.7722 2.7722
Cr 2.7722 0.0000 2.7722
Cr 2.7722 2.7722 0.0000
Fe 1.3861 1.3861 4.1583
Fe 1.3861 4.1583 1.3861
Fe 4.1583 1.3861 1.3861
Fe 4.1583 4.1583 4.1583
Re 0.0000 0.0000 2.7722
Re 0.0000 2.7722 0.0000
Re 2.7722 0.0000 0.0000
Re 2.7722 2.7722 2.7722
```

Output
Its density of states at the Fermi level is 1.357 states/eV per atom. The energy of formation from the pure elements comes out at 1.98 eV per formula unit. The excess energy over the best structure of this formula in the dataset is 0.697 eV/atom.

=====

The following is a DFT calculation (PBE) of a relaxed NpAsP crystal.

extended XYZ file:
```
12
Lattice="3.8164 0.0000 0.0000 0.0000 3.8583 0.0000 0.0000 0.0000 17.8372" Properties=species:S:1:pos:R:3 pbc="T T T"
Np 0.0000 0.0000 0.0000
Np 0.0000 0.0000 4.6584
Np 1.9082 1.9291 8.9186
Np 1.9082 1.9291 13.5770
As 0.0000 0.0000 14.9855
As 0.0000 1.9291 11.1022
As 1.9082 0.0000 2.1836
As 1.9082 1.9291 6.0669
P 0.0000 0.0000 8.4107
P 0.0000 0.0000 12.6318
P 1.9082 1.9291 3.7132
P 1.9082 1.9291 17.3293
```

Output
Its density of states at the Fermi level is 2.517 states/eV per atom. The energy of formation from the pure elements comes out at -0.95 eV per formula unit. The excess energy over the best structure of this formula in the dataset is 0.297 eV/atom.

=====

The following is a DFT calculation (PBE) of a relaxed Cu4SnPt crystal.

extended XYZ file:
```
6
Lattice="0.0000 3.4881 3.4881 3.4881 0.0000 3.4881 3.4881 3.4881 0.0000" Properties=species:S:1:pos:R:3 pbc="T T T"
Cu 0.8744 0.8744 0.8744
Cu 2.6137 2.6137 0.8744
Cu 2.6137 0.8744 2.6137
Cu 0.8744 2.6137 2.6137
Sn 5.2321 5.2321 5.2321
Pt 3.4881 3.4881 3.4881
```

Output
Its density of states at the Fermi level is 0.917 states/eV per atom. The energy of formation from the pure elements comes out at -0.21 eV per formula unit.

=====

The following is a DFT calculation (PBE) of a relaxed Cs2LiI3 crystal.

extended XYZ file:
```
12
Lattice="2.4218 -13.2086 0.0000 2.4218 13.2086 0.0000 0.0000 0.0000 8.7470" Properties=species:S:1:pos:R:3 pbc="T T T"
Cs 2.4218 13.0240 4.3735
Cs 2.4218 8.5438 0.0355
Cs 2.4218 -8.5438 4.4089
Cs 2.4218 -13.0240 0.0000
Li 2.4218 3.9926 8.7166
Li 2.4218 -3.9926 4.3431
I 2.4218 7.7313 4.2711
I 2.4218 2.3302 2.2253
I 2.4218 2.2738 6.4975
I 2.4218 -2.2738 2.1241
I 2.4218 -2.3302 6.5988
I 2.4218 -7.7313 8.6446
```

Output
Its density of states at the Fermi level is 0.000 states/eV per atom. The excess energy over the best structure of this formula in the dataset is 0.012 eV/atom.

=====

The following is a DFT calculation (PBE) of a relaxed Pm3IrPbO crystal.

extended XYZ file:
```
12
Lattice="9.2336 0.0000 0.0000 0.0000 4.0625 0.0000 -3.6539 0.0000 8.5018" Properties=species:S:1:pos:R:3 pbc="T T T"
Pm -0.3609 1.0156 1.4393
Pm 0.2917 3.0469 4.7029
Pm 2.6932 3.0469 1.6701
Pm 2.8864 1.0156 6.8317
Pm 5.2880 1.0156 3.7989
Pm 5.9405 3.0469 7.0625
Ir 2.0557 1.0156 3.6623
Ir 3.5239 3.0469 4.8395
Pb -0.4780 1.0156 7.2535
Pb 6.0577 3.0469 1.2483
O 0.5462 3.0469 0.8659
O 5.0335 1.0156 7.6359
```

Output
As for the electronic total energy: -79.3 eV/cell. Its density of states at the Fermi level is 0.487 states/eV per atom.